Below is a relaxed Ga2CoF2 crystal, with properties calculated at the GGA+U level.

* total DFT energy (no corrections): -3.81 eV per atom
* size of the total moment: 4.6 μB per cell
* excess energy over the best structure of this formula in the dataset: 0.0255 eV/atom
* D(E_F): 2.6 states/eV/cell
* volume: 14.003 Å³ per atom
* crystal system: tetragonal

Structure (CIF):
```
data_Ga2CoF2
_cell_length_a 3.3677
_cell_length_b 3.3677
_cell_length_c 12.3466
_cell_angle_alpha 90.00
_cell_angle_beta 90.00
_cell_angle_gamma 90.00
_space_group_name_H-M_alt 'I 4/m m m'
_space_group_IT_number 139
_space_group_name_Hall '-I 4 2'
loop_
_atom_site_label
_atom_site_fract_x
_atom_site_fract_y
_atom_site_fract_z
Ga1 0.0000 0.0000 0.1293
Co1 0.0000 0.0000 0.5000
F1 0.0000 0.5000 0.2500
```